Here is a relaxed Pm4CdIn2 crystal from Alexandria. Energies are from GGA-PBE.

a b c (Å): 9.1826 9.1826 9.1826
angles (deg): 34.10 34.10 34.10
Closest atoms and distances in Å follow each position.
Atoms (fractional coordinates):
Pm1 0.1184 0.1184 0.1184  4 In 3.21-3.32, 3 Cd 3.35
Pm2 0.3707 0.3707 0.3707  4 In 3.22-3.36, 1 Cd 3.35
Pm3 0.6293 0.6293 0.6293  4 In 3.22-3.36, 1 Cd 3.35
Pm4 0.8816 0.8816 0.8816  4 In 3.21-3.32, 3 Cd 3.35
Cd1 0.5000 0.5000 0.5000  8 Pm 3.35, 6 In 3.74
In1 0.2466 0.2466 0.2466  8 Pm 3.21-3.36
In2 0.7534 0.7534 0.7534  8 Pm 3.21-3.36

## Properties
* total DFT energy (no corrections): -27.488 eV for the cell shown
* space group: R-3m, No. 166

=====

Here is a relaxed Pm6CdIn3 crystal from Alexandria. Energies are from GGA-PBE.

a b c (Å): 9.5436 5.4249 11.9376
angles (deg): 90.00 107.98 90.00
Closest atoms and distances in Å follow each position.
Atoms (fractional coordinates):
Pm1 0.0404 0.2500 0.4138  7 In 3.28-3.61, 4 Pm 3.47-3.65
Pm2 0.1625 0.7500 0.1778  5 In 3.26-3.39, 1 Cd 3.31, 2 Pm 3.58
Pm3 0.2464 0.2500 0.0014  4 In 3.24-3.42, 3 Cd 3.31-3.37
Pm4 0.3442 0.7500 0.8002  3 Cd 3.31-3.32, 3 In 3.35-3.38, 3 Pm 3.62-3.67
Pm5 0.3681 0.2500 0.3454  6 Pm 3.20-3.58, 3 In 3.39-3.45
Pm6 0.4117 0.2500 0.6221  3 Pm 3.20-3.38, 1 Cd 3.25, 4 In 3.26-3.56
Pm7 0.5883 0.7500 0.3779  3 Pm 3.20-3.38, 1 Cd 3.25, 4 In 3.26-3.56
Pm8 0.6319 0.7500 0.6546  6 Pm 3.20-3.58, 3 In 3.39-3.45
Pm9 0.6558 0.2500 0.1998  3 Cd 3.31-3.32, 3 In 3.35-3.38, 3 Pm 3.62-3.67
Pm10 0.7536 0.7500 0.9986  4 In 3.24-3.42, 3 Cd 3.31-3.37
Pm11 0.8375 0.2500 0.8222  5 In 3.26-3.39, 1 Cd 3.31, 2 Pm 3.58
Pm12 0.9596 0.7500 0.5862  7 In 3.28-3.61, 4 Pm 3.47-3.65
Cd1 0.4604 0.7500 0.0916  8 Pm 3.25-3.37
Cd2 0.5396 0.2500 0.9084  8 Pm 3.25-3.37
In1 0.0363 0.7500 0.8790  8 Pm 3.26-3.42, 2 In 3.59
In2 0.1259 0.2500 0.7164  8 Pm 3.24-3.45, 2 In 3.59
In3 0.2711 0.7500 0.4744  10 Pm 3.29-3.61
In4 0.7289 0.2500 0.5256  10 Pm 3.29-3.61
In5 0.8741 0.7500 0.2836  8 Pm 3.24-3.45, 2 In 3.59
In6 0.9637 0.2500 0.1210  8 Pm 3.26-3.42, 2 In 3.59

## Properties
* total DFT energy (no corrections): -82.222 eV for the cell shown
* space group: P2_1/m, No. 11

=====

Here is a relaxed PmCdInPt crystal from Alexandria. Energies are from GGA-PBE.

a b c (Å): 4.9997 4.9997 4.9997
angles (deg): 60.00 60.00 60.00
Closest atoms and distances in Å follow each position.
Atoms (fractional coordinates):
Pm1 0.0000 0.0000 0.0000  4 Cd 3.06, 4 Pt 3.06
Cd1 0.7500 0.7500 0.7500  4 In 3.06, 4 Pm 3.06
In1 0.5000 0.5000 0.5000  4 Cd 3.06, 4 Pt 3.06
Pt1 0.2500 0.2500 0.2500  4 In 3.06, 4 Pm 3.06

## Properties
* total DFT energy (no corrections): -16.809 eV for the cell shown
* space group: F-43m, No. 216

=====

Here is a relaxed Pm4Cd2InRu crystal from Alexandria. Energies are from GGA-PBE.

a b c (Å): 9.0856 9.0856 9.0856
angles (deg): 34.09 34.09 34.09
Closest atoms and distances in Å follow each position.
Atoms (fractional coordinates):
Pm1 0.1132 0.1132 0.1132  1 Ru 2.90, 3 Cd 3.12
Pm2 0.3678 0.3678 0.3678  3 Ru 3.20, 4 Cd 3.25-3.41, 1 In 3.39, 3 Pm 3.55
Pm3 0.6322 0.6322 0.6322  3 Ru 3.20, 4 Cd 3.25-3.41, 1 In 3.39, 3 Pm 3.55
Pm4 0.8868 0.8868 0.8868  1 Ru 2.90, 3 Cd 3.12
Cd1 0.2410 0.2410 0.2410  8 Pm 3.12-3.41
Cd2 0.7590 0.7590 0.7590  8 Pm 3.12-3.41
In1 0.5000 0.5000 0.5000  8 Pm 3.37-3.39, 6 Cd 3.62
Ru1 0.0000 0.0000 0.0000  8 Pm 2.90-3.20

## Properties
* total DFT energy (no corrections): -35.568 eV for the cell shown
* space group: R-3m, No. 166

=====

Here is a relaxed PmSc2Cd2In2 crystal from Alexandria. Energies are from GGA-PBE.

a b c (Å): 8.9199 8.9199 8.9199
angles (deg): 31.71 31.71 31.71
Closest atoms and distances in Å follow each position.
Atoms (fractional coordinates):
Pm1 0.0000 0.0000 0.0000  6 In 3.34, 2 Sc 3.47
Sc1 0.1366 0.1366 0.1366  3 Cd 2.95, 4 In 3.19-3.27, 3 Sc 3.20
Sc2 0.8634 0.8634 0.8634  3 Cd 2.95, 4 In 3.19-3.27, 3 Sc 3.20
Cd1 0.4356 0.4356 0.4356  3 In 2.92, 3 Sc 2.95, 1 Cd 3.27
Cd2 0.5644 0.5644 0.5644  3 In 2.92, 3 Sc 2.95, 1 Cd 3.27
In1 0.2622 0.2622 0.2622  3 Cd 2.92, 4 Sc 3.19-3.27
In2 0.7378 0.7378 0.7378  3 Cd 2.92, 4 Sc 3.19-3.27

## Properties
* total DFT energy (no corrections): -26.536 eV for the cell shown
* space group: R-3m, No. 166

=====

Here is a relaxed PmSm2Cd2In2 crystal from Alexandria. Energies are from GGA-PBE.

a b c (Å): 9.5949 9.5949 9.5949
angles (deg): 30.09 30.09 30.09
Closest atoms and distances in Å follow each position.
Atoms (fractional coordinates):
Pm1 0.0000 0.0000 0.0000  6 Cd 3.40, 6 In 3.50, 2 Sm 3.53
Sm1 0.1285 0.1285 0.1285  4 In 3.26-3.64, 3 Cd 3.35, 1 Pm 3.53, 3 Sm 3.56
Sm2 0.8715 0.8715 0.8715  4 In 3.26-3.64, 3 Cd 3.35, 1 Pm 3.53, 3 Sm 3.56
Cd1 0.3994 0.3994 0.3994  3 In 2.88
Cd2 0.6006 0.6006 0.6006  3 In 2.88
In1 0.2609 0.2609 0.2609  3 Cd 2.88
In2 0.7391 0.7391 0.7391  3 Cd 2.88

## Properties
* total DFT energy (no corrections): -23.510 eV for the cell shown
* space group: R-3m, No. 166

=====

Here is a relaxed PmSmCdIn crystal from Alexandria. Energies are from GGA-PBE.

a b c (Å): 5.4255 5.4255 5.4255
angles (deg): 60.00 60.00 60.00
Closest atoms and distances in Å follow each position.
Atoms (fractional coordinates):
Pm1 0.0000 0.0000 0.0000  4 Cd 3.32, 4 In 3.32
Sm1 0.5000 0.5000 0.5000  4 Cd 3.32, 4 In 3.32
Cd1 0.7500 0.7500 0.7500  4 Pm 3.32, 4 Sm 3.32
In1 0.2500 0.2500 0.2500  4 Pm 3.32, 4 Sm 3.32

## Properties
* total DFT energy (no corrections): -14.792 eV for the cell shown
* space group: F-43m, No. 216

=====

Here is a relaxed Pm2SmCd2In2 crystal from Alexandria. Energies are from GGA-PBE.

a b c (Å): 9.6144 9.6144 9.6144
angles (deg): 30.02 30.02 30.02
Closest atoms and distances in Å follow each position.
Atoms (fractional coordinates):
Pm1 0.1283 0.1283 0.1283  3 In 3.27, 3 Cd 3.37, 1 Sm 3.53, 3 Pm 3.57
Pm2 0.8717 0.8717 0.8717  3 In 3.27, 3 Cd 3.37, 1 Sm 3.53, 3 Pm 3.57
Sm1 0.0000 0.0000 0.0000  6 Cd 3.37, 6 In 3.49, 2 Pm 3.53
Cd1 0.3975 0.3975 0.3975  3 In 2.88
Cd2 0.6025 0.6025 0.6025  3 In 2.88
In1 0.2617 0.2617 0.2617  3 Cd 2.88
In2 0.7383 0.7383 0.7383  3 Cd 2.88

## Properties
* total DFT energy (no corrections): -23.550 eV for the cell shown
* space group: R-3m, No. 166

=====

Here is a relaxed PmCdInSn crystal from Alexandria. Energies are from GGA-PBE.

a b c (Å): 5.3336 5.3336 5.3336
angles (deg): 60.00 60.00 60.00
Closest atoms and distances in Å follow each position.
Atoms (fractional coordinates):
Pm1 0.0000 0.0000 0.0000  4 Sn 3.27, 4 In 3.27
Cd1 0.5000 0.5000 0.5000  4 Sn 3.27, 4 In 3.27
In1 0.2500 0.2500 0.2500  4 Cd 3.27, 4 Pm 3.27
Sn1 0.7500 0.7500 0.7500  4 Cd 3.27, 4 Pm 3.27

## Properties
* total DFT energy (no corrections): -13.291 eV for the cell shown
* space group: F-43m, No. 216

=====

Here is a relaxed PmCdInSn crystal from Alexandria. Energies are from GGA-PBE.

a b c (Å): 4.5531 4.6625 4.8328
angles (deg): 90.00 90.00 90.00
Closest atoms and distances in Å follow each position.
Atoms (fractional coordinates):
Pm1 0.0000 0.0000 0.0000  4 Sn 3.26, 4 In 3.32, 4 Cd 3.36
Cd1 0.0000 0.5000 0.5000  4 In 3.26, 4 Sn 3.32, 4 Pm 3.36
In1 0.5000 0.0000 0.5000  4 Cd 3.26, 4 Pm 3.32, 4 Sn 3.36
Sn1 0.5000 0.5000 0.0000  4 Pm 3.26, 4 Cd 3.32, 4 In 3.36

## Properties
* total DFT energy (no corrections): -14.315 eV for the cell shown
* space group: Pmmm, No. 47

=====

Here is a relaxed PmCd2InSn crystal from Alexandria. Energies are from GGA-PBE.

a b c (Å): 8.3598 8.3598 6.5417
angles (deg): 90.00 90.00 146.40
Closest atoms and distances in Å follow each position.
Atoms (fractional coordinates):
Pm1 0.0886 0.9114 0.7500  4 Sn 3.24, 3 In 3.32-3.43, 4 Cd 3.39
Pm2 0.9114 0.0886 0.2500  4 Sn 3.24, 3 In 3.32-3.43, 4 Cd 3.39
Cd1 0.2997 0.7003 0.0099  3 Cd 2.90-3.14, 3 In 3.19-3.20, 1 Sn 3.21
Cd2 0.2997 0.7003 0.4901  3 Cd 2.90-3.14, 3 In 3.19-3.20, 1 Sn 3.21
Cd3 0.7003 0.2997 0.5099  3 Cd 2.90-3.14, 3 In 3.19-3.20, 1 Sn 3.21
Cd4 0.7003 0.2997 0.9901  3 Cd 2.90-3.14, 3 In 3.19-3.20, 1 Sn 3.21
In1 0.1255 0.8745 0.2500  6 Cd 3.19-3.20, 3 Pm 3.32-3.43, 4 Sn 3.54
In2 0.8745 0.1255 0.7500  6 Cd 3.19-3.20, 3 Pm 3.32-3.43, 4 Sn 3.54
Sn1 0.5000 0.5000 0.0000  2 Cd 3.21, 4 Pm 3.24, 2 Sn 3.27, 4 In 3.54
Sn2 0.5000 0.5000 0.5000  2 Cd 3.21, 4 Pm 3.24, 2 Sn 3.27, 4 In 3.54

## Properties
* total DFT energy (no corrections): -30.116 eV for the cell shown
* space group: Cmcm, No. 63

=====

Here is a relaxed SrPmCdIn crystal from Alexandria. Energies are from GGA-PBE.

a b c (Å): 3.9019 3.9019 8.1007
angles (deg): 90.00 90.00 90.00
Closest atoms and distances in Å follow each position.
Atoms (fractional coordinates):
Sr1 0.0000 0.0000 0.0000  4 Cd 3.52, 4 In 3.54, 4 Sr 3.90
Pm1 0.0000 0.0000 0.5036  4 Cd 3.31, 4 In 3.33
Cd1 0.5000 0.5000 0.7301  4 Pm 3.31, 4 Sr 3.52, 1 In 3.70
In1 0.5000 0.5000 0.2730  4 Pm 3.33, 4 Sr 3.54, 1 Cd 3.70

## Properties
* total DFT energy (no corrections): -11.662 eV for the cell shown
* space group: P4mm, No. 99